# 1
Material: Sr2TcP
Method: DFT, PBE
State: relaxed

Structure (POSCAR):
```
Sr2TcP
1.0
-2.378 2.378 4.366
2.378 -2.378 4.366
2.378 2.378 -4.366
Sr Tc P
2 1 1
Cartesian
2.378 0.000 2.183
0.000 2.378 2.183
0.000 0.000 0.000
0.000 0.000 4.366
```

As for the calculated formation energy: 0.377 eV/atom. As for the symmetry: I4/mmm. The value obtained for the volume is 24.684 Å³/atom.

---

# 2
Material: Sr2TcP
Method: DFT, PBE
State: relaxed

Structure (POSCAR):
```
Sr2TcP
1.0
3.674 0.000 0.000
0.000 3.975 0.000
0.000 0.000 7.179
Sr Tc P
2 1 1
Cartesian
0.000 0.000 1.623
0.000 0.000 5.557
1.837 1.988 3.590
1.837 1.988 0.000
```

As for the calculated formation energy: 0.287 eV/atom. As for the symmetry: Pmmm. The value obtained for the volume is 26.214 Å³/atom.

---

# 3
Material: SrTcP4
Method: DFT, PBE
State: relaxed

Structure (POSCAR):
```
SrTcP4
1.0
0.000 3.779 3.779
3.779 0.000 3.779
3.779 3.779 0.000
Sr Tc P
1 1 4
Cartesian
0.000 0.000 0.000
5.669 5.669 5.669
2.911 2.911 2.911
4.647 4.647 2.911
4.647 2.911 4.647
2.911 4.647 4.647
```

As for the calculated formation energy: 0.473 eV/atom. As for the symmetry: F-43m. The value obtained for the volume is 17.992 Å³/atom.

---

# 4
Material: SrTcP
Method: DFT, PBE
State: relaxed

Structure (POSCAR):
```
SrTcP
1.0
4.006 0.000 0.000
-2.003 3.470 0.000
0.000 0.000 4.884
Sr Tc P
1 1 1
Cartesian
0.000 0.000 0.000
2.003 1.157 2.442
0.000 2.313 2.442
```

As for the calculated formation energy: -0.444 eV/atom. As for the symmetry: P-6m2. The value obtained for the volume is 22.630 Å³/atom.

---

The mass density results, record by record, are as follows: 5.12; 4.82; 4.76; 5.30 g cm⁻³.